# CrTcRh4 (GGA-PBE, relaxed)
# * offset from the most stable computed form: 520 meV per atom
# * magnetic moment: 2.8 μB per formula unit
# * N(E_F): 10.62 states/eV/f.u.
# * DFT formation energy: 0.388 eV per atom
data_CrTcRh4
_chemical_formula_sum 'Cr4 Tc4 Rh16'
_cell_length_a 7.1483
_cell_length_b 7.1483
_cell_length_c 7.1483
_cell_angle_alpha 90.00
_cell_angle_beta 90.00
_cell_angle_gamma 90.00
_symmetry_space_group_name_H-M 'F -4 3 m'
_symmetry_Int_Tables_number 216
_symmetry_space_group_name_Hall 'F -4 2 3'
loop_
_atom_site_label
_atom_site_fract_x
_atom_site_fract_y
_atom_site_fract_z
Cr1 0.0000 0.0000 0.0000
Tc1 0.2500 0.2500 0.2500
Rh1 0.1251 0.1251 0.6251